*i*
A relaxed structure of BaHg2W, computed with PBE-GGA.

a = 7.5955 Å, b = 7.5955 Å, c = 7.5955 Å
α = 90.00°, β = 90.00°, γ = 90.00°
Sites, in units of the cell vectors:
Ba: 0.0000 0.0000 0.0000
Ba: 0.0000 0.5000 0.5000
Ba: 0.5000 0.0000 0.5000
Ba: 0.5000 0.5000 0.0000
Hg: 0.2500 0.2500 0.2500
Hg: 0.2500 0.2500 0.7500
Hg: 0.2500 0.7500 0.2500
Hg: 0.2500 0.7500 0.7500
Hg: 0.7500 0.2500 0.2500
Hg: 0.7500 0.2500 0.7500
Hg: 0.7500 0.7500 0.2500
Hg: 0.7500 0.7500 0.7500
W: 0.0000 0.0000 0.5000
W: 0.0000 0.5000 0.0000
W: 0.5000 0.0000 0.0000
W: 0.5000 0.5000 0.5000

Computed properties:
Calculated volume   27.388 A^3/atom

*ii*
A relaxed structure of BaHg2W, computed with PBE-GGA.

a = 3.2043 Å, b = 3.2043 Å, c = 31.9493 Å
α = 90.00°, β = 90.00°, γ = 120.00°
Sites, in units of the cell vectors:
Ba: 0.0000 0.0000 0.0000
Ba: 0.3333 0.6667 0.6667
Ba: 0.6667 0.3333 0.3333
Hg: 0.0000 0.0000 0.2388
Hg: 0.0000 0.0000 0.7612
Hg: 0.3333 0.6667 0.4279
Hg: 0.3333 0.6667 0.9054
Hg: 0.6667 0.3333 0.0946
Hg: 0.6667 0.3333 0.5721
W: 0.0000 0.0000 0.5000
W: 0.3333 0.6667 0.1667
W: 0.6667 0.3333 0.8333

Computed properties:
Calculated volume   23.675 A^3/atom

Most stable = *ii*

*i*
A relaxed structure of BaHgW3, computed with PBE-GGA.

a = 5.1292 Å, b = 5.1292 Å, c = 5.1292 Å
α = 90.00°, β = 90.00°, γ = 90.00°
Sites, in units of the cell vectors:
Ba: 0.0000 0.0000 0.0000
Hg: 0.5000 0.5000 0.5000
W: 0.0000 0.5000 0.5000
W: 0.5000 0.0000 0.5000
W: 0.5000 0.5000 0.0000

Computed properties:
Calculated volume   26.989 A^3/atom

*ii*
A relaxed structure of BaHgW3, computed with PBE-GGA.

a = 5.0322 Å, b = 5.0322 Å, c = 5.0322 Å
α = 90.00°, β = 90.00°, γ = 90.00°
Sites, in units of the cell vectors:
Ba: 0.0000 0.0000 0.0000
Hg: 0.5000 0.5000 0.5000
W: 0.0000 0.0000 0.5000
W: 0.0000 0.5000 0.0000
W: 0.5000 0.0000 0.0000

Computed properties:
Calculated volume   25.486 A^3/atom

Most stable = *i*

*i*
A relaxed structure of BaHg3W, computed with PBE-GGA.

a = 6.3619 Å, b = 6.3619 Å, c = 6.3619 Å
α = 90.00°, β = 90.00°, γ = 90.00°
Sites, in units of the cell vectors:
Ba: 0.0000 0.0000 0.0000
Hg: 0.0000 0.0000 0.5000
Hg: 0.0000 0.5000 0.0000
Hg: 0.5000 0.0000 0.0000
W: 0.5000 0.5000 0.5000

Computed properties:
Calculated volume   51.499 A^3/atom

*ii*
A relaxed structure of BaHg3W, computed with PBE-GGA.

a = 5.3595 Å, b = 5.3595 Å, c = 5.3595 Å
α = 90.00°, β = 90.00°, γ = 90.00°
Sites, in units of the cell vectors:
Ba: 0.0000 0.0000 0.0000
Hg: 0.0000 0.5000 0.5000
Hg: 0.5000 0.0000 0.5000
Hg: 0.5000 0.5000 0.0000
W: 0.5000 0.5000 0.5000

Computed properties:
Calculated volume   30.790 A^3/atom

Most stable = *ii*